Record 1
TaTl2AuS4: optimized geometry, PBE.

Properties
Fermi-level density of states   0.00 states/eV per cell
Total magnetic moment   0.00 μB per formula unit
E_form (uncorrected)   -0.592 eV per atom
Uncorrected energy   -5.1387 eV per atom

Unit cell a=5.869 b=13.670 c=22.646 alpha=90.00 beta=90.00 gamma=90.00
Space group Fddd (No. 70, origin choice 2)
Inequivalent atoms, fractional coordinates:
Ta (0.125, 0.125, 0.125) x8
Tl (0.125, 0.125, 0.301) x16
Au (0.125, 0.125, 0.625) x8
S (0.090, 0.275, 0.435) x32

***

Record 2
Zr2TaAuS: optimized geometry, PBE.

Properties
Fermi-level density of states   6.87 states/eV per cell
Total magnetic moment   0.00 μB per formula unit
E_form (uncorrected)   0.552 eV per atom
Uncorrected energy   -6.7188 eV per atom

Unit cell a=5.205 b=5.205 c=4.576 alpha=90.00 beta=90.00 gamma=90.00
Space group P4/mmm (No. 123)
Inequivalent atoms, fractional coordinates:
Zr (0.000, 0.500, 0.000) x2
Ta (0.000, 0.000, 0.000) x1
Au (0.500, 0.500, 0.500) x1
S (0.000, 0.000, 0.500) x1

***

Repeat the first record exactly.
TaTl2AuS4: optimized geometry, PBE.

Properties
Fermi-level density of states   0.00 states/eV per cell
Total magnetic moment   0.00 μB per formula unit
E_form (uncorrected)   -0.592 eV per atom
Uncorrected energy   -5.1387 eV per atom

Unit cell a=5.869 b=13.670 c=22.646 alpha=90.00 beta=90.00 gamma=90.00
Space group Fddd (No. 70, origin choice 2)
Inequivalent atoms, fractional coordinates:
Ta (0.125, 0.125, 0.125) x8
Tl (0.125, 0.125, 0.301) x16
Au (0.125, 0.125, 0.625) x8
S (0.090, 0.275, 0.435) x32